First-principles (PBE-GGA) data for crystalline SiP2Pb at its relaxed geometry, as listed in Alexandria.

Output
The space-group type is Imm2 (44). The value obtained for the density of states at the Fermi level is 2.6 states/eV/f.u. Its energy above the most stable polymorph in this dataset is 179 kJ/mol of formula units. Its energy is -4.5336 eV per atom.

Cell: 5.494 5.494 5.494 Å, 145.11 119.28 71.98°
Element x y z (fractional)
P  0.187  0.687  0.500
P  0.005  0.005  0.000
Si  0.803  0.303  0.500
Pb  0.505  0.505  0.000


First-principles (PBE-GGA) data for crystalline SiP2Pb at its relaxed geometry, as listed in Alexandria.

Output
The space-group type is I-42d (122). The value obtained for the density of states at the Fermi level is 0.0 states/eV/f.u. Its energy above the most stable polymorph in this dataset is 0 kJ/mol of formula units. Its energy is -4.9972 eV per atom.

Cell: 6.741 6.741 6.233 Å, 57.26 57.26 90.00°
Element x y z (fractional)
P  0.875  0.790  0.750
P  0.540  0.125  0.250
P  0.375  0.460  0.750
P  0.210  0.625  0.250
Si  0.500  0.500  0.000
Si  0.250  0.750  0.500
Pb  0.750  0.250  0.500
Pb  0.000  0.000  0.000